--- i ---
VASP calculation (PBE-GGA) on InReAu after structural relaxation.

Output
Volume = 17.98 Å³/atom
SG = No. 44
Magnetization = 0.38 μB per formula unit

a b c (Å): 5.3617 5.3617 5.3617
angles (deg): 149.39 136.26 54.33
With the nearest neighbours (Å) after each atom.
Positions (direct):
1 In 0.0000 0.0000 0.0000  2 In 2.83, 5 Re 2.93-3.17, 5 Au 2.96-3.10
2 Re 0.6680 0.6680 0.0000  2 Re 2.83, 4 Au 2.87, 5 In 2.93-3.17
3 Au 0.3253 0.3253 0.0000  2 Au 2.83, 4 Re 2.87, 5 In 2.96-3.10

--- ii ---
VASP calculation (PBE-GGA) on InReAu after structural relaxation.

Output
Volume = 17.83 Å³/atom
SG = No. 156
Magnetization = 0.00 μB per formula unit

a b c (Å): 2.9657 2.9657 7.0222
angles (deg): 90.00 90.00 120.00
With the nearest neighbours (Å) after each atom.
Positions (direct):
1 In 0.0000 0.0000 0.0000  3 Re 2.89, 6 In 2.97, 3 Au 2.98
2 Re 0.6667 0.3333 0.3311  3 Au 2.83, 3 In 2.89, 6 Re 2.97
3 Au 0.3333 0.6667 0.6526  3 Re 2.83, 6 Au 2.97, 3 In 2.98

--- iii ---
VASP calculation (PBE-GGA) on InReAu after structural relaxation.

Output
Volume = 17.90 Å³/atom
SG = No. 107
Magnetization = 0.79 μB per formula unit

a b c (Å): 6.5932 6.5932 6.5932
angles (deg): 154.33 154.33 36.61
With the nearest neighbours (Å) after each atom.
Positions (direct):
1 In 0.0000 0.0000 0.0000  4 Re 2.91, 4 In 2.93, 4 Au 3.05
2 Re 0.3364 0.3364 0.0000  4 Au 2.86, 4 In 2.91, 4 Re 2.93
3 Au 0.6792 0.6792 0.0000  4 Re 2.86, 4 Au 2.93, 4 In 3.05

Which structure wins on stability? ii wins.

--- i ---
VASP calculation (PBE-GGA) on In3RhAu after structural relaxation.

Output
Volume = 26.81 Å³/atom
SG = No. 221
Magnetization = 0.00 μB per formula unit

a b c (Å): 5.1180 5.1180 5.1180
angles (deg): 90.00 90.00 90.00
With the nearest neighbours (Å) after each atom.
Positions (direct):
1 In 0.0000 0.0000 0.5000  2 Rh 2.56
2 In 0.0000 0.5000 0.0000  2 Rh 2.56
3 In 0.5000 0.0000 0.0000  2 Rh 2.56
4 Rh 0.0000 0.0000 0.0000  6 In 2.56
5 Au 0.5000 0.5000 0.5000  12 In 3.62

--- ii ---
VASP calculation (PBE-GGA) on In3RhAu after structural relaxation.

Output
Volume = 22.40 Å³/atom
SG = No. 15
Magnetization = 0.00 μB per formula unit

a b c (Å): 9.5821 9.5821 5.3671
angles (deg): 95.82 95.82 112.37
With the nearest neighbours (Å) after each atom.
Positions (direct):
1 In 0.0634 0.9366 0.7500  3 Rh 2.74-2.78, 2 Au 2.93
2 In 0.1594 0.3439 0.7412  2 Rh 2.64-2.71, 1 Au 2.89
3 In 0.1712 0.6440 0.4455  2 Rh 2.77-2.92, 3 Au 2.80-3.04
4 In 0.3439 0.1594 0.2412  2 Rh 2.64-2.71, 1 Au 2.89
5 In 0.3560 0.8288 0.0545  2 Rh 2.77-2.92, 3 Au 2.80-3.04
6 In 0.4340 0.5660 0.2500  3 Rh 2.67-2.74
7 In 0.5660 0.4340 0.7500  3 Rh 2.67-2.74
8 In 0.6440 0.1712 0.9455  2 Rh 2.77-2.92, 3 Au 2.80-3.04
9 In 0.6561 0.8406 0.7588  2 Rh 2.64-2.71, 1 Au 2.89
10 In 0.8288 0.3560 0.5545  2 Rh 2.77-2.92, 3 Au 2.80-3.04
11 In 0.8406 0.6561 0.2588  2 Rh 2.64-2.71, 1 Au 2.89
12 In 0.9366 0.0634 0.2500  3 Rh 2.74-2.78, 2 Au 2.93
13 Rh 0.1086 0.8914 0.2500  7 In 2.71-2.92, 2 Au 2.84
14 Rh 0.3983 0.6017 0.7500  7 In 2.64-2.77
15 Rh 0.6017 0.3983 0.2500  7 In 2.64-2.77
16 Rh 0.8914 0.1086 0.7500  7 In 2.71-2.92, 2 Au 2.84
17 Au 0.0205 0.6320 0.8693  5 In 2.80-3.04, 1 Rh 2.84, 1 Au 2.93
18 Au 0.3680 0.9795 0.6307  5 In 2.80-3.04, 1 Rh 2.84, 1 Au 2.93
19 Au 0.6320 0.0205 0.3693  5 In 2.80-3.04, 1 Rh 2.84, 1 Au 2.93
20 Au 0.9795 0.3680 0.1307  5 In 2.80-3.04, 1 Rh 2.84, 1 Au 2.93

Which structure wins on stability? ii wins.

--- i ---
VASP calculation (PBE-GGA) on InRuAu after structural relaxation.

Output
Volume = 17.62 Å³/atom
SG = No. 107
Magnetization = 0.39 μB per formula unit

a b c (Å): 5.7936 5.7936 5.7936
angles (deg): 148.52 148.52 45.12
With the nearest neighbours (Å) after each atom.
Positions (direct):
1 In 0.0000 0.0000 0.0000  4 Ru 2.77, 4 Au 2.94
2 Ru 0.3450 0.3450 0.0000  4 In 2.77, 4 Au 2.84
3 Au 0.6803 0.6803 0.0000  4 Ru 2.84, 4 In 2.94, 4 Au 3.14

--- ii ---
VASP calculation (PBE-GGA) on InRuAu after structural relaxation.

Output
Volume = 20.67 Å³/atom
SG = No. 216
Magnetization = 0.00 μB per formula unit

a b c (Å): 4.4427 4.4427 4.4427
angles (deg): 60.00 60.00 60.00
With the nearest neighbours (Å) after each atom.
Positions (direct):
1 In 0.0000 0.0000 0.0000  4 Ru 2.72
2 Ru 0.2500 0.2500 0.2500  4 Au 2.72, 4 In 2.72
3 Au 0.5000 0.5000 0.5000  4 Ru 2.72

--- iii ---
VASP calculation (PBE-GGA) on InRuAu after structural relaxation.

Output
Volume = 17.84 Å³/atom
SG = No. 156
Magnetization = 0.80 μB per formula unit

a b c (Å): 4.5595 4.5595 2.9730
angles (deg): 90.00 90.00 120.00
With the nearest neighbours (Å) after each atom.
Positions (direct):
1 In 0.0000 0.0000 0.0000  3 Au 2.72, 3 Ru 2.84, 2 In 2.97
2 Ru 0.6667 0.3333 0.3578  3 In 2.84, 6 Au 2.91-3.15, 2 Ru 2.97
3 Au 0.3333 0.6667 0.7757  3 In 2.72, 3 Ru 2.91, 2 Au 2.97

Which structure wins on stability? i wins.

--- i ---
VASP calculation (PBE-GGA) on InAuS after structural relaxation.

Output
Volume = 20.98 Å³/atom
SG = No. 156
Magnetization = 0.00 μB per formula unit

a b c (Å): 3.7634 3.7634 5.1316
angles (deg): 90.00 90.00 120.00
With the nearest neighbours (Å) after each atom.
Positions (direct):
1 In 0.0000 0.0000 0.0000  3 S 2.70, 3 Au 2.81
2 Au 0.3333 0.6667 0.6533  3 S 2.79, 3 In 2.81
3 S 0.6667 0.3333 0.3120  3 In 2.70, 3 Au 2.79

--- ii ---
VASP calculation (PBE-GGA) on InAuS after structural relaxation.

Output
Volume = 24.07 Å³/atom
SG = No. 14
Magnetization = 0.00 μB per formula unit

a b c (Å): 6.6576 6.4544 7.3541
angles (deg): 90.00 113.93 90.00
With the nearest neighbours (Å) after each atom.
Positions (direct):
1 In 0.1328 0.1128 0.3051  2 S 2.59-2.63, 2 Au 2.67-2.68
2 In 0.1328 0.3872 0.8051  2 S 2.59-2.63, 2 Au 2.67-2.68
3 In 0.8672 0.6128 0.1949  2 S 2.59-2.63, 2 Au 2.67-2.68
4 In 0.8672 0.8872 0.6949  2 S 2.59-2.63, 2 Au 2.67-2.68
5 Au 0.2688 0.7388 0.2447  2 S 2.49-2.51, 2 In 2.67-2.68
6 Au 0.2688 0.7612 0.7447  2 S 2.49-2.51, 2 In 2.67-2.68
7 Au 0.7312 0.2388 0.2553  2 S 2.49-2.51, 2 In 2.67-2.68
8 Au 0.7312 0.2612 0.7553  2 S 2.49-2.51, 2 In 2.67-2.68
9 S 0.3575 0.1288 0.6927  2 Au 2.49-2.51, 2 In 2.59-2.63
10 S 0.3575 0.3712 0.1927  2 Au 2.49-2.51, 2 In 2.59-2.63
11 S 0.6425 0.6288 0.8073  2 Au 2.49-2.51, 2 In 2.59-2.63
12 S 0.6425 0.8712 0.3073  2 Au 2.49-2.51, 2 In 2.59-2.63

Which structure wins on stability? ii wins.

--- i ---
VASP calculation (PBE-GGA) on In2AuS2 after structural relaxation.

Output
Volume = 23.27 Å³/atom
SG = No. 139
Magnetization = 0.00 μB per formula unit

a b c (Å): 5.6512 5.6512 5.6512
angles (deg): 125.08 125.08 81.40
With the nearest neighbours (Å) after each atom.
Positions (direct):
1 In 0.1641 0.1641 0.0000  4 S 2.71, 1 In 2.81, 1 Au 2.88
2 In 0.8359 0.8359 0.0000  4 S 2.71, 1 In 2.81, 1 Au 2.88
3 Au 0.5000 0.5000 0.0000  2 In 2.88
4 S 0.2500 0.7500 0.5000  4 In 2.71
5 S 0.7500 0.2500 0.5000  4 In 2.71

--- ii ---
VASP calculation (PBE-GGA) on In2AuS2 after structural relaxation.

Output
Volume = 21.34 Å³/atom
SG = No. 127
Magnetization = 0.00 μB per formula unit

a b c (Å): 7.6154 7.6154 3.6796
angles (deg): 90.00 90.00 90.00
With the nearest neighbours (Å) after each atom.
Positions (direct):
1 In 0.1632 0.3368 0.0000  6 S 2.77-2.98, 2 Au 2.85
2 In 0.3368 0.8368 0.0000  6 S 2.77-2.98, 2 Au 2.85
3 In 0.6632 0.1632 0.0000  6 S 2.77-2.98, 2 Au 2.85
4 In 0.8368 0.6632 0.0000  6 S 2.77-2.98, 2 Au 2.85
5 Au 0.0000 0.0000 0.0000  4 In 2.85
6 Au 0.5000 0.5000 0.0000  4 In 2.85
7 S 0.1443 0.6443 0.5000  6 In 2.77-2.98
8 S 0.3557 0.1443 0.5000  6 In 2.77-2.98
9 S 0.6443 0.8557 0.5000  6 In 2.77-2.98
10 S 0.8557 0.3557 0.5000  6 In 2.77-2.98

Which structure wins on stability? i wins.

--- i ---
VASP calculation (PBE-GGA) on In2AuS2 after structural relaxation.

Output
Volume = 24.60 Å³/atom
SG = No. 12
Magnetization = 0.00 μB per formula unit

a b c (Å): 10.2327 10.2327 6.7503
angles (deg): 108.61 108.61 21.59
With the nearest neighbours (Å) after each atom.
Positions (direct):
1 In 0.1503 0.1503 0.3164  3 S 2.56
2 In 0.3486 0.3486 0.1827  3 S 2.56-2.57
3 In 0.6514 0.6514 0.8173  3 S 2.56-2.57
4 In 0.8497 0.8497 0.6836  3 S 2.56
5 Au 0.2501 0.2501 0.7486  6 In 2.90-2.96
6 Au 0.7499 0.7499 0.2514  6 In 2.90-2.96
7 S 0.0850 0.0850 0.9208  3 In 2.56
8 S 0.4153 0.4153 0.5784  3 In 2.56-2.57
9 S 0.5847 0.5847 0.4216  3 In 2.56-2.57
10 S 0.9150 0.9150 0.0792  3 In 2.56

--- ii ---
VASP calculation (PBE-GGA) on In2AuS2 after structural relaxation.

Output
Volume = 23.41 Å³/atom
SG = No. 127
Magnetization = 0.00 μB per formula unit

a b c (Å): 7.7487 7.7487 3.8991
angles (deg): 90.00 90.00 90.00
With the nearest neighbours (Å) after each atom.
Positions (direct):
1 In 0.1302 0.3698 0.0000  2 S 2.57, 1 In 2.85
2 In 0.3698 0.8698 0.0000  2 S 2.57, 1 In 2.85
3 In 0.6302 0.1302 0.0000  2 S 2.57, 1 In 2.85
4 In 0.8698 0.6302 0.0000  2 S 2.57, 1 In 2.85
5 Au 0.0000 0.0000 0.5000  4 S 2.76
6 Au 0.5000 0.5000 0.5000  4 S 2.76
7 S 0.2173 0.7173 0.5000  2 In 2.57, 2 Au 2.76
8 S 0.2827 0.2173 0.5000  2 In 2.57, 2 Au 2.76
9 S 0.7173 0.7827 0.5000  2 In 2.57, 2 Au 2.76
10 S 0.7827 0.2827 0.5000  2 In 2.57, 2 Au 2.76

Which structure wins on stability? i wins.